# 1
Material: AgMo2W
Method: DFT, PBE-GGA
State: optimized geometry

Cell: 5.651 8.678 2.657 Å, 90.00 90.00 90.00°
Space group Cmmm (No. 65)
Inequivalent atoms, fractional coordinates:
Ag 0.000 0.000 0.000 x2
Mo 0.250 0.250 0.500 x4
W 0.000 0.500 0.000 x2

Output
Polymorph energy (0 for the lowest one) (meV per atom): 216
DFT formation energy (meV per atom): 462


# 2
Material: In2Ag15Au2
Method: DFT, PBE-GGA
State: optimized geometry

Cell: 9.6282 9.6282 14.2061 Å, 90.00 90.00 120.00°
Space group R-3m (No. 166, hexagonal axes)
Inequivalent atoms, fractional coordinates:
In 0.0000 0.0000 0.1483 x6
Ag 0.0000 0.3061 0.5000 x18
Ag 0.0000 0.5000 0.0000 x9
Ag 0.0027 0.5013 0.6533 x18
Au 0.0000 0.0000 0.3987 x6

Output
DFT formation energy (meV per atom): 106


# 3
Material: Ba6Tl2N
Method: DFT, PBE-GGA
State: optimized geometry

Cell: 15.146 4.532 13.520 Å, 90.00 106.40 90.00°
Space group C2/m (No. 12)
Inequivalent atoms, fractional coordinates:
Ba 0.035 0.000 0.321 x4
Ba 0.160 0.500 0.069 x4
Ba 0.169 0.000 0.600 x4
Tl 0.158 0.500 0.808 x4
N 0.000 0.000 0.500 x2

Output
Polymorph energy (0 for the lowest one) (meV per atom): 180


# 4
Material: Nd2CdPd5
Method: DFT, PBE-GGA
State: optimized geometry

Cell: 6.412 6.412 7.659 Å, 90.00 90.00 90.00°
Space group I4mm (No. 107)
Inequivalent atoms, fractional coordinates:
Nd 0.000 0.500 0.000 x4
Cd 0.000 0.000 0.411 x2
Pd 0.000 0.000 0.020 x2
Pd 0.221 0.221 0.742 x8

Output
DFT formation energy (meV per atom): -658


# 5
Material: Ba3AgRh
Method: DFT, PBE-GGA
State: optimized geometry

Cell: 5.998 5.998 5.998 Å, 90.00 90.00 90.00°
Space group Pm-3m (No. 221)
Inequivalent atoms, fractional coordinates:
Ba 0.000 0.000 0.500 x3
Ag 0.500 0.500 0.500 x1
Rh 0.000 0.000 0.000 x1

Output
Polymorph energy (0 for the lowest one) (meV per atom): 91
DFT formation energy (meV per atom): -88


# 6
Material: BeReW2
Method: DFT, PBE-GGA
State: optimized geometry

Cell: 3.126 4.351 8.502 Å, 90.00 90.00 90.00°
Space group Imm2 (No. 44)
Inequivalent atoms, fractional coordinates:
Be 0.000 0.000 0.000 x2
Re 0.000 0.500 0.744 x2
W 0.000 0.000 0.491 x2
W 0.000 0.500 0.242 x2

Output
DFT formation energy (meV per atom): 167


# 7
Material: Ti6GeSb2
Method: DFT, PBE-GGA
State: optimized geometry

Cell: 7.1043 7.1043 3.7414 Å, 90.00 90.00 120.00°
Space group P-62m (No. 189)
Inequivalent atoms, fractional coordinates:
Ti 0.0000 0.2409 0.0000 x3
Ti 0.0000 0.6071 0.5000 x3
Ge 0.0000 0.0000 0.5000 x1
Sb 0.3333 0.6667 0.0000 x2

Output
Raw total energy (eV/f.u.): -65.07


# 8
Material: AlCdMo2
Method: DFT, PBE-GGA
State: optimized geometry

Cell: 2.8702 2.8702 29.0682 Å, 90.00 90.00 120.00°
Space group R3m (No. 160, hexagonal axes)
Inequivalent atoms, fractional coordinates:
Al 0.0000 0.0000 0.0000 x3
Cd 0.0000 0.0000 0.2405 x3
Mo 0.0000 0.0000 0.4858 x3
Mo 0.0000 0.0000 0.7407 x3

Output
Polymorph energy (0 for the lowest one) (meV per atom): 170
DFT formation energy (meV per atom): 271


# 9
Material: NbAlIrRh
Method: DFT, PBE-GGA
State: optimized geometry

Cell: 4.081 4.081 7.313 Å, 90.00 90.00 90.00°
Space group I-4m2 (No. 119)
Inequivalent atoms, fractional coordinates:
Nb 0.000 0.000 0.000 x2
Al 0.000 0.000 0.500 x2
Ir 0.000 0.500 0.250 x2
Rh 0.000 0.500 0.750 x2

Output
DFT formation energy (meV per atom): -715


# 10
Material: CaErCd5
Method: DFT, PBE-GGA
State: optimized geometry

Cell: 4.464 4.464 9.677 Å, 90.00 90.00 90.00°
Space group P4/mmm (No. 123)
Inequivalent atoms, fractional coordinates:
Ca 0.000 0.000 0.000 x1
Er 0.500 0.500 0.500 x1
Cd 0.000 0.000 0.500 x1
Cd 0.000 0.500 0.256 x4

Output
DFT formation energy (meV per atom): -125


# 11
Material: Na3Ga4Hg2
Method: DFT, PBE-GGA
State: optimized geometry

Cell: 10.763 4.694 8.913 Å, 90.00 115.64 90.00°
Space group C2/m (No. 12)
Inequivalent atoms, fractional coordinates:
Na 0.000 0.000 0.000 x2
Na 0.194 0.500 0.641 x4
Ga 0.007 0.000 0.648 x4
Ga 0.244 0.500 0.074 x4
Hg 0.074 0.500 0.249 x4

Output
Polymorph energy (0 for the lowest one) (meV per atom): 0
DFT formation energy (meV per atom): -157


# 12
Material: SrTc4Mo
Method: DFT, PBE-GGA
State: optimized geometry

Cell: 7.497 7.497 7.497 Å, 90.00 90.00 90.00°
Space group F-43m (No. 216)
Inequivalent atoms, fractional coordinates:
Sr 0.000 0.000 0.000 x4
Tc 0.124 0.124 0.624 x16
Mo 0.250 0.250 0.250 x4

Output
DFT formation energy (meV per atom): 560


# 13
Material: RbP2NO
Method: DFT, PBE-GGA
State: optimized geometry

Cell: 3.805 3.805 7.426 Å, 90.00 90.00 90.00°
Space group P4/mmm (No. 123)
Inequivalent atoms, fractional coordinates:
Rb 0.000 0.000 0.000 x1
P 0.000 0.500 0.500 x2
N 0.500 0.500 0.500 x1
O 0.500 0.500 0.000 x1

Output
Polymorph energy (0 for the lowest one) (meV per atom): 0


# 14
Material: KLiFe2
Method: DFT, PBE-GGA
State: optimized geometry

Cell: 2.7114 2.7114 31.2069 Å, 90.00 90.00 120.00°
Space group R-3m (No. 166, hexagonal axes)
Inequivalent atoms, fractional coordinates:
K 0.0000 0.0000 0.0000 x3
Li 0.0000 0.0000 0.5000 x3
Fe 0.0000 0.0000 0.2394 x6

Output
Polymorph energy (0 for the lowest one) (meV per atom): 355
DFT formation energy (meV per atom): 899


# 15
Material: CsNa2SmCl6
Method: DFT, PBE-GGA
State: optimized geometry

Cell: 7.3444 7.3444 20.2560 Å, 90.00 90.00 120.00°
Space group R3 (No. 146, hexagonal axes)
Inequivalent atoms, fractional coordinates:
Cs 0.0000 0.0000 0.0000 x3
Na 0.0000 0.0000 0.2707 x3
Na 0.0000 0.0000 0.7885 x3
Sm 0.0000 0.0000 0.4672 x3
Cl 0.0097 0.3423 0.1995 x9
Cl 0.0206 0.5657 0.0434 x9

Output
Raw total energy (eV/f.u.): -39.71


# 16
Material: PrErTmZn
Method: DFT, PBE-GGA
State: optimized geometry

Cell: 7.596 7.596 7.596 Å, 90.00 90.00 90.00°
Space group F-43m (No. 216)
Inequivalent atoms, fractional coordinates:
Pr 0.000 0.000 0.000 x4
Er 0.000 0.000 0.500 x4
Tm 0.250 0.250 0.250 x4
Zn 0.250 0.250 0.750 x4

Output
Polymorph energy (0 for the lowest one) (meV per atom): 205
DFT formation energy (meV per atom): 36


# 17
Material: Cd3N2
Method: DFT, PBE-GGA
State: optimized geometry

Cell: 11.008 11.008 11.008 Å, 90.00 90.00 90.00°
Space group Ia-3 (No. 206)
Inequivalent atoms, fractional coordinates:
Cd 0.101 0.154 0.624 x48
N 0.000 0.250 0.473 x24
N 0.250 0.250 0.250 x8

Output
Raw total energy (eV/f.u.): -16.64


# 18
Material: Dy2PuNbN4
Method: DFT, PBE-GGA
State: optimized geometry

Cell: 5.813 3.369 5.837 Å, 90.00 109.07 90.00°
Space group P2/m (No. 10)
Inequivalent atoms, fractional coordinates:
Dy 0.000 0.000 0.000 x1
Dy 0.500 0.500 0.000 x1
Pu 0.000 0.500 0.500 x1
Nb 0.500 0.000 0.500 x1
N 0.255 0.000 0.736 x2
N 0.264 0.500 0.269 x2

Output
Raw total energy (eV/f.u.): -78.23


# 19
Material: Pr3MgHg4
Method: DFT, PBE-GGA
State: optimized geometry

Cell: 5.2845 5.2845 27.0827 Å, 90.00 90.00 120.00°
Space group R-3m (No. 166, hexagonal axes)
Inequivalent atoms, fractional coordinates:
Pr 0.0000 0.0000 0.0000 x3
Pr 0.0000 0.0000 0.2425 x6
Mg 0.0000 0.0000 0.5000 x3
Hg 0.0000 0.0000 0.1253 x6
Hg 0.0000 0.0000 0.3757 x6

Output
DFT formation energy (meV per atom): -450


# 20
Material: Ac2Pr6Y
Method: DFT, PBE-GGA
State: optimized geometry

Cell: 15.767 10.338 9.396 Å, 90.00 117.95 90.00°
Space group C2/c (No. 15)
Inequivalent atoms, fractional coordinates:
Ac 0.093 0.081 0.178 x8
Pr 0.083 0.421 0.165 x8
Pr 0.164 0.254 0.580 x8
Pr 0.240 0.410 0.987 x8
Y 0.000 0.255 0.750 x4

Output
Polymorph energy (0 for the lowest one) (meV per atom): 5
DFT formation energy (meV per atom): 76


# 21
Material: YTl3
Method: DFT, PBE-GGA
State: optimized geometry

Cell: 3.971 3.971 7.242 Å, 90.00 90.00 90.00°
Space group P4/mmm (No. 123)
Inequivalent atoms, fractional coordinates:
Y 0.000 0.000 0.000 x1
Tl 0.000 0.000 0.500 x1
Tl 0.500 0.500 0.246 x2

Output
DFT formation energy (meV per atom): -124


# 22
Material: IrOsRu4
Method: DFT, PBE-GGA
State: optimized geometry

Cell: 2.736 4.321 7.257 Å, 90.00 100.95 90.00°
Space group Pm (No. 6)
Inequivalent atoms, fractional coordinates:
Ir 0.000 0.000 0.000 x1
Os 0.777 0.500 0.554 x1
Ru 0.111 0.500 0.225 x1
Ru 0.332 0.000 0.664 x1
Ru 0.443 0.500 0.888 x1
Ru 0.667 0.000 0.335 x1

Output
Polymorph energy (0 for the lowest one) (meV per atom): 0
DFT formation energy (meV per atom): -36


# 23
Material: Ti2AgGe2
Method: DFT, PBE-GGA
State: optimized geometry

Cell: 6.760 6.760 3.630 Å, 90.00 90.00 90.00°
Space group P4/mbm (No. 127)
Inequivalent atoms, fractional coordinates:
Ti 0.174 0.326 0.000 x4
Ag 0.000 0.000 0.500 x2
Ge 0.129 0.629 0.500 x4

Output
Polymorph energy (0 for the lowest one) (meV per atom): 0
DFT formation energy (meV per atom): -343